--- one ---
The following is a DFT calculation (GGA-PBE) of Sr8IrAu2 after structural relaxation.

Lattice parameters (Å, degrees): 8.468 8.468 7.435 91.18 91.18 62.40
Element x y z (fractional)
Sr 0.121 0.121 0.821
Sr 0.123 0.643 0.663
Sr 0.357 0.877 0.337
Sr 0.373 0.373 0.159
Sr 0.627 0.627 0.841
Sr 0.643 0.123 0.663
Sr 0.877 0.357 0.337
Sr 0.879 0.879 0.179
Ir 0.000 0.000 0.500
Au 0.257 0.257 0.499
Au 0.743 0.743 0.501

Space-group type: C2/m (12)
Total magnetic moment, μB per cell: 0.000

--- two ---
The following is a DFT calculation (GGA-PBE) of Sr8IrAu2 after structural relaxation.

Lattice parameters (Å, degrees): 10.508 10.508 7.555 104.24 104.24 29.84
Element x y z (fractional)
Sr 0.036 0.036 0.314
Sr 0.214 0.214 0.824
Sr 0.341 0.341 0.537
Sr 0.414 0.414 0.093
Sr 0.586 0.586 0.907
Sr 0.659 0.659 0.463
Sr 0.786 0.786 0.176
Sr 0.964 0.964 0.686
Ir 0.500 0.500 0.500
Au 0.191 0.191 0.226
Au 0.809 0.809 0.774

Space-group type: C2/m (12)
Total magnetic moment, μB per cell: 0.000

Energy comparison, zero being the most stable, in eV/atom: one 0.000; two 0.046.

--- one ---
The following is a DFT calculation (GGA-PBE) of TaIrAu2 after structural relaxation.

Lattice parameters (Å, degrees): 7.469 7.469 5.318 90.00 90.00 90.00
Element x y z (fractional)
Ta 0.000 0.000 0.000
Ta 0.000 0.500 0.250
Ta 0.500 0.000 0.750
Ta 0.500 0.500 0.500
Ir 0.000 0.000 0.500
Ir 0.000 0.500 0.750
Ir 0.500 0.000 0.250
Ir 0.500 0.500 0.000
Au 0.250 0.250 0.125
Au 0.250 0.250 0.625
Au 0.250 0.750 0.375
Au 0.250 0.750 0.875
Au 0.750 0.250 0.375
Au 0.750 0.250 0.875
Au 0.750 0.750 0.125
Au 0.750 0.750 0.625

Space-group type: I-42d (122)
Total magnetic moment, μB per cell: 0.000

--- two ---
The following is a DFT calculation (GGA-PBE) of TaIrAu2 after structural relaxation.

Lattice parameters (Å, degrees): 4.047 4.047 8.137 90.00 90.00 90.00
Element x y z (fractional)
Ta 0.000 0.000 0.000
Ta 0.500 0.500 0.500
Ir 0.000 0.500 0.250
Ir 0.500 0.000 0.750
Au 0.000 0.000 0.500
Au 0.000 0.500 0.750
Au 0.500 0.000 0.250
Au 0.500 0.500 0.000

Space-group type: I-4m2 (119)
Total magnetic moment, μB per cell: 0.000

--- three ---
The following is a DFT calculation (GGA-PBE) of TaIrAu2 after structural relaxation.

Lattice parameters (Å, degrees): 3.565 3.565 5.421 90.00 90.00 90.00
Element x y z (fractional)
Ta 0.000 0.000 0.000
Ir 0.000 0.000 0.500
Au 0.500 0.500 0.251
Au 0.500 0.500 0.749

Space-group type: P4/mmm (123)
Total magnetic moment, μB per cell: 0.200

Energy comparison, zero being the most stable, in eV/atom: one 0.607; two 0.000; three 0.286.

--- one ---
The following is a DFT calculation (GGA-PBE) of TaIrAu2 after structural relaxation.

Lattice parameters (Å, degrees): 6.485 6.485 6.485 90.00 90.00 90.00
Element x y z (fractional)
Ta 0.000 0.000 0.000
Ta 0.000 0.500 0.500
Ta 0.500 0.000 0.500
Ta 0.500 0.500 0.000
Ir 0.250 0.250 0.250
Ir 0.250 0.750 0.750
Ir 0.750 0.250 0.750
Ir 0.750 0.750 0.250
Au 0.000 0.000 0.500
Au 0.000 0.500 0.000
Au 0.250 0.250 0.750
Au 0.250 0.750 0.250
Au 0.500 0.000 0.000
Au 0.500 0.500 0.500
Au 0.750 0.250 0.250
Au 0.750 0.750 0.750

Space-group type: F-43m (216)
Total magnetic moment, μB per cell: 0.000

--- two ---
The following is a DFT calculation (GGA-PBE) of TaIrAu2 after structural relaxation.

Lattice parameters (Å, degrees): 2.914 2.914 8.095 90.00 90.00 90.00
Element x y z (fractional)
Ta 0.000 0.000 0.000
Ir 0.500 0.500 0.784
Au 0.000 0.000 0.525
Au 0.500 0.500 0.258

Space-group type: P4mm (99)
Total magnetic moment, μB per cell: 0.000

--- three ---
The following is a DFT calculation (GGA-PBE) of TaIrAu2 after structural relaxation.

Lattice parameters (Å, degrees): 2.937 4.225 5.435 90.00 90.00 90.00
Element x y z (fractional)
Ta 0.000 0.000 0.000
Ir 0.000 0.000 0.500
Au 0.500 0.500 0.250
Au 0.500 0.500 0.750

Space-group type: Pmmm (47)
Total magnetic moment, μB per cell: 0.000

Energy comparison, zero being the most stable, in eV/atom: one 0.164; two 0.000; three 0.192.

--- one ---
The following is a DFT calculation (GGA-PBE) of TaIrAu2 after structural relaxation.

Lattice parameters (Å, degrees): 6.465 6.465 6.465 90.00 90.00 90.00
Element x y z (fractional)
Ta 0.000 0.000 0.000
Ta 0.000 0.500 0.500
Ta 0.500 0.000 0.500
Ta 0.500 0.500 0.000
Ir 0.000 0.000 0.500
Ir 0.000 0.500 0.000
Ir 0.500 0.000 0.000
Ir 0.500 0.500 0.500
Au 0.250 0.250 0.250
Au 0.250 0.250 0.750
Au 0.250 0.750 0.250
Au 0.250 0.750 0.750
Au 0.750 0.250 0.250
Au 0.750 0.250 0.750
Au 0.750 0.750 0.250
Au 0.750 0.750 0.750

Space-group type: Fm-3m (225)
Total magnetic moment, μB per cell: 0.000

--- two ---
The following is a DFT calculation (GGA-PBE) of TaIrAu2 after structural relaxation.

Lattice parameters (Å, degrees): 5.410 8.515 2.951 90.00 90.00 90.00
Element x y z (fractional)
Ta 0.000 0.000 0.000
Ta 0.500 0.500 0.000
Ir 0.000 0.500 0.000
Ir 0.500 0.000 0.000
Au 0.250 0.250 0.500
Au 0.250 0.750 0.500
Au 0.750 0.250 0.500
Au 0.750 0.750 0.500

Space-group type: Cmmm (65)
Total magnetic moment, μB per cell: 0.000

--- three ---
The following is a DFT calculation (GGA-PBE) of TaIrAu2 after structural relaxation.

Lattice parameters (Å, degrees): 5.526 5.632 8.634 90.00 90.00 90.00
Element x y z (fractional)
Ta 0.000 0.000 0.000
Ta 0.000 0.500 0.500
Ta 0.500 0.000 0.500
Ta 0.500 0.500 0.000
Ir 0.000 0.000 0.500
Ir 0.000 0.500 0.000
Ir 0.500 0.000 0.000
Ir 0.500 0.500 0.500
Au 0.250 0.250 0.250
Au 0.250 0.250 0.750
Au 0.250 0.750 0.250
Au 0.250 0.750 0.750
Au 0.750 0.250 0.250
Au 0.750 0.250 0.750
Au 0.750 0.750 0.250
Au 0.750 0.750 0.750

Space-group type: Fmmm (69)
Total magnetic moment, μB per cell: 0.000

--- four ---
The following is a DFT calculation (GGA-PBE) of TaIrAu2 after structural relaxation.

Lattice parameters (Å, degrees): 2.929 3.970 5.823 90.00 90.00 90.00
Element x y z (fractional)
Ta 0.000 0.000 0.000
Ir 0.500 0.500 0.790
Au 0.000 0.000 0.519
Au 0.500 0.500 0.271

Space-group type: Pmm2 (25)
Total magnetic moment, μB per cell: 0.000

Energy comparison, zero being the most stable, in eV/atom: one 0.292; two 0.286; three 0.081; four 0.000.

--- one ---
The following is a DFT calculation (GGA-PBE) of Tb3IrAu2 after structural relaxation.

Lattice parameters (Å, degrees): 7.319 7.319 8.159 106.20 106.20 47.00
Element x y z (fractional)
Tb 0.001 0.999 0.750
Tb 0.351 0.354 0.926
Tb 0.354 0.351 0.426
Tb 0.646 0.649 0.574
Tb 0.649 0.646 0.074
Tb 0.999 0.001 0.250
Ir 0.499 0.501 0.250
Ir 0.501 0.499 0.750
Au 0.174 0.177 0.587
Au 0.177 0.174 0.087
Au 0.823 0.826 0.913
Au 0.826 0.823 0.413

Space-group type: C2/c (15)
Total magnetic moment, μB per cell: 0.000

--- two ---
The following is a DFT calculation (GGA-PBE) of Tb3IrAu2 after structural relaxation.

Lattice parameters (Å, degrees): 7.910 7.910 7.181 90.00 90.00 142.96
Element x y z (fractional)
Tb 0.000 0.000 0.241
Tb 0.000 0.000 0.759
Tb 0.329 0.671 0.236
Tb 0.329 0.671 0.764
Tb 0.671 0.329 0.236
Tb 0.671 0.329 0.764
Ir 0.166 0.834 0.000
Ir 0.834 0.166 0.000
Au 0.167 0.833 0.500
Au 0.500 0.500 0.000
Au 0.500 0.500 0.500
Au 0.833 0.167 0.500

Space-group type: Cmmm (65)
Total magnetic moment, μB per cell: 0.000

Energy comparison, zero being the most stable, in eV/atom: one 0.083; two 0.000.

--- one ---
The following is a DFT calculation (GGA-PBE) of Tb4IrAu after structural relaxation.

Lattice parameters (Å, degrees): 8.433 4.766 15.746 90.00 90.00 90.00
Element x y z (fractional)
Tb 0.037 0.250 0.079
Tb 0.086 0.250 0.776
Tb 0.133 0.250 0.336
Tb 0.149 0.250 0.567
Tb 0.351 0.750 0.067
Tb 0.367 0.750 0.836
Tb 0.414 0.750 0.276
Tb 0.463 0.750 0.579
Tb 0.537 0.250 0.421
Tb 0.586 0.250 0.724
Tb 0.633 0.250 0.164
Tb 0.649 0.250 0.933
Tb 0.851 0.750 0.433
Tb 0.867 0.750 0.664
Tb 0.914 0.750 0.224
Tb 0.963 0.750 0.921
Ir 0.189 0.750 0.684
Ir 0.311 0.250 0.184
Ir 0.689 0.750 0.816
Ir 0.811 0.250 0.316
Au 0.233 0.750 0.439
Au 0.267 0.250 0.939
Au 0.733 0.750 0.061
Au 0.767 0.250 0.561

Space-group type: Pnma (62)
Total magnetic moment, μB per cell: 0.000

--- two ---
The following is a DFT calculation (GGA-PBE) of Tb4IrAu after structural relaxation.

Lattice parameters (Å, degrees): 7.098 6.970 6.987 90.00 93.17 90.00
Element x y z (fractional)
Tb 0.155 0.164 0.181
Tb 0.155 0.336 0.681
Tb 0.324 0.659 0.147
Tb 0.324 0.841 0.647
Tb 0.676 0.159 0.353
Tb 0.676 0.341 0.853
Tb 0.845 0.664 0.319
Tb 0.845 0.836 0.819
Ir 0.000 0.000 0.500
Ir 0.000 0.500 0.000
Au 0.500 0.000 0.000
Au 0.500 0.500 0.500

Space-group type: P2_1/c (14)
Total magnetic moment, μB per cell: 0.000

Energy comparison, zero being the most stable, in eV/atom: one 0.000; two 0.065.

--- one ---
The following is a DFT calculation (GGA-PBE) of TcIrAu2 after structural relaxation.

Lattice parameters (Å, degrees): 2.818 2.818 8.219 90.00 90.00 90.00
Element x y z (fractional)
Tc 0.000 0.000 0.000
Ir 0.500 0.500 0.796
Au 0.000 0.000 0.531
Au 0.500 0.500 0.257

Space-group type: P4mm (99)
Total magnetic moment, μB per cell: 0.000

--- two ---
The following is a DFT calculation (GGA-PBE) of TcIrAu2 after structural relaxation.

Lattice parameters (Å, degrees): 6.373 6.373 6.373 90.00 90.00 90.00
Element x y z (fractional)
Tc 0.000 0.000 0.000
Tc 0.000 0.500 0.500
Tc 0.500 0.000 0.500
Tc 0.500 0.500 0.000
Ir 0.000 0.000 0.500
Ir 0.000 0.500 0.000
Ir 0.500 0.000 0.000
Ir 0.500 0.500 0.500
Au 0.250 0.250 0.250
Au 0.250 0.250 0.750
Au 0.250 0.750 0.250
Au 0.250 0.750 0.750
Au 0.750 0.250 0.250
Au 0.750 0.250 0.750
Au 0.750 0.750 0.250
Au 0.750 0.750 0.750

Space-group type: Fm-3m (225)
Total magnetic moment, μB per cell: 0.000

--- three ---
The following is a DFT calculation (GGA-PBE) of TcIrAu2 after structural relaxation.

Lattice parameters (Å, degrees): 2.822 2.822 8.074 90.00 90.00 90.00
Element x y z (fractional)
Tc 0.000 0.000 0.000
Ir 0.000 0.000 0.500
Au 0.500 0.500 0.248
Au 0.500 0.500 0.752

Space-group type: P4/mmm (123)
Total magnetic moment, μB per cell: 0.367

Energy comparison, zero being the most stable, in eV/atom: one 0.000; two 0.489; three 0.391.

--- one ---
The following is a DFT calculation (GGA-PBE) of TcIrAu2 after structural relaxation.

Lattice parameters (Å, degrees): 9.438 2.818 4.901 90.00 99.64 90.00
Element x y z (fractional)
Tc 0.000 0.000 0.000
Tc 0.500 0.500 0.000
Ir 0.000 0.500 0.500
Ir 0.500 0.000 0.500
Au 0.248 0.500 0.248
Au 0.252 0.000 0.752
Au 0.748 0.000 0.248
Au 0.752 0.500 0.752

Space-group type: C2/m (12)
Total magnetic moment, μB per cell: 0.001

--- two ---
The following is a DFT calculation (GGA-PBE) of TcIrAu2 after structural relaxation.

Lattice parameters (Å, degrees): 2.825 2.825 28.361 90.00 90.00 120.00
Element x y z (fractional)
Tc 0.000 0.000 0.000
Tc 0.333 0.667 0.667
Tc 0.667 0.333 0.333
Ir 0.000 0.000 0.262
Ir 0.333 0.667 0.929
Ir 0.667 0.333 0.595
Au 0.000 0.000 0.508
Au 0.000 0.000 0.752
Au 0.333 0.667 0.175
Au 0.333 0.667 0.418
Au 0.667 0.333 0.085
Au 0.667 0.333 0.842

Space-group type: R3m (160)
Total magnetic moment, μB per cell: 0.000

--- three ---
The following is a DFT calculation (GGA-PBE) of TcIrAu2 after structural relaxation.

Lattice parameters (Å, degrees): 2.809 4.815 9.874 90.00 90.00 90.00
Element x y z (fractional)
Tc 0.000 0.000 0.000
Tc 0.500 0.500 0.500
Ir 0.000 0.500 0.288
Ir 0.500 0.000 0.788
Au 0.000 0.000 0.534
Au 0.000 0.500 0.762
Au 0.500 0.000 0.262
Au 0.500 0.500 0.034

Space-group type: Imm2 (44)
Total magnetic moment, μB per cell: 0.003

Energy comparison, zero being the most stable, in eV/atom: one 0.245; two 0.000; three 0.271.